BaGePd3 | Alexandria via LeMat-Bulk | GGA-PBE | optimized geometry; total moment = 0.00 μB/cell; ΔE_f = -0.546 eV per atom; D(E_F) = 0.489 states/eV per atom; space group = P2_1/c, No. 14
1.0
6.948 0.000 0.000
0.000 8.727 0.634
0.000 -0.235 7.099
Pd Ge Ba
12 4 4
Direct
0.417 0.560 0.172 Pd
0.083 0.060 0.672 Pd
0.760 0.189 0.101 Pd
0.148 0.114 0.058 Pd
0.352 0.614 0.558 Pd
0.917 0.940 0.328 Pd
0.740 0.689 0.601 Pd
0.583 0.440 0.828 Pd
0.260 0.311 0.399 Pd
0.240 0.811 0.899 Pd
0.852 0.886 0.942 Pd
0.648 0.386 0.442 Pd
0.434 0.288 0.096 Ge
0.934 0.212 0.404 Ge
0.566 0.712 0.904 Ge
0.066 0.788 0.596 Ge
0.059 0.413 0.787 Ba
0.941 0.587 0.213 Ba
0.441 0.913 0.287 Ba
0.559 0.087 0.713 Ba